1.
SrHgIN2: optimized geometry, PBE-GGA.

The structure in CIF format:
```
data_SrHgIN2
_symmetry_space_group_name_H-M 'P 1'
_symmetry_Int_Tables_number 1
_cell_length_a 4.518
_cell_length_b 4.518
_cell_length_c 5.487
_cell_angle_alpha 90.00
_cell_angle_beta 90.00
_cell_angle_gamma 90.00
loop_
_symmetry_equiv_pos_as_xyz
'x,y,z'
loop_
_atom_site_label
_atom_site_fract_x
_atom_site_fract_y
_atom_site_fract_z
_atom_site_occupancy
Sr1 0.000 0.000 0.000 1
Hg1 0.500 0.500 0.000 1
I1 0.500 0.500 0.500 1
N1 0.000 0.500 0.500 1
N2 0.500 0.000 0.500 1
```

Values from the calculation:
Space group: P4/mmm
E_form (uncorrected): 1284 meV/atom
E above lowest polymorph: 0.2522 eV/atom



2.
YZrSi: optimized geometry, PBE-GGA.

The structure in CIF format:
```
data_YZrSi
_symmetry_space_group_name_H-M 'P 1'
_symmetry_Int_Tables_number 1
_cell_length_a 5.439
_cell_length_b 5.439
_cell_length_c 5.439
_cell_angle_alpha 140.42
_cell_angle_beta 140.42
_cell_angle_gamma 57.22
loop_
_symmetry_equiv_pos_as_xyz
'x,y,z'
loop_
_atom_site_label
_atom_site_fract_x
_atom_site_fract_y
_atom_site_fract_z
_atom_site_occupancy
Y1 0.000 0.000 0.000 1
Zr1 0.703 0.703 0.000 1
Si1 0.325 0.325 0.000 1
```

Values from the calculation:
Space group: I4mm
E_form (uncorrected): -336 meV/atom



3.
Ti2Re2Sb: optimized geometry, PBE-GGA.

The structure in CIF format:
```
data_Ti2Re2Sb
_symmetry_space_group_name_H-M 'P 1'
_symmetry_Int_Tables_number 1
_cell_length_a 7.674
_cell_length_b 7.674
_cell_length_c 2.986
_cell_angle_alpha 90.00
_cell_angle_beta 90.00
_cell_angle_gamma 90.00
loop_
_symmetry_equiv_pos_as_xyz
'x,y,z'
loop_
_atom_site_label
_atom_site_fract_x
_atom_site_fract_y
_atom_site_fract_z
_atom_site_occupancy
Ti1 0.139 0.361 0.000 1
Ti2 0.361 0.861 0.000 1
Ti3 0.639 0.139 0.000 1
Ti4 0.861 0.639 0.000 1
Re1 0.151 0.651 0.500 1
Re2 0.349 0.151 0.500 1
Re3 0.651 0.849 0.500 1
Re4 0.849 0.349 0.500 1
Sb1 0.000 0.000 0.000 1
Sb2 0.500 0.500 0.000 1
```

Values from the calculation:
Space group: P4/mbm
E_form (uncorrected): 342 meV/atom
E above lowest polymorph: 0.1694 eV/atom



4.
Ba2EuZn: optimized geometry, PBE-GGA.

The structure in CIF format:
```
data_Ba2EuZn
_symmetry_space_group_name_H-M 'P 1'
_symmetry_Int_Tables_number 1
_cell_length_a 4.138
_cell_length_b 4.138
_cell_length_c 10.346
_cell_angle_alpha 90.00
_cell_angle_beta 90.00
_cell_angle_gamma 90.00
loop_
_symmetry_equiv_pos_as_xyz
'x,y,z'
loop_
_atom_site_label
_atom_site_fract_x
_atom_site_fract_y
_atom_site_fract_z
_atom_site_occupancy
Ba1 0.000 0.000 0.190 1
Ba2 0.000 0.000 0.810 1
Eu1 0.500 0.500 0.500 1
Zn1 0.500 0.500 0.000 1
```

Values from the calculation:
Space group: P4/mmm
Energy relative to the elements: -59 meV per atom
E above lowest polymorph: 0.0000 eV/atom



5.
Tb6NdY3Sc2: optimized geometry, PBE-GGA.

The structure in CIF format:
```
data_Tb6NdY3Sc2
_symmetry_space_group_name_H-M 'P 1'
_symmetry_Int_Tables_number 1
_cell_length_a 6.105
_cell_length_b 6.105
_cell_length_c 11.671
_cell_angle_alpha 94.98
_cell_angle_beta 94.98
_cell_angle_gamma 119.96
loop_
_symmetry_equiv_pos_as_xyz
'x,y,z'
loop_
_atom_site_label
_atom_site_fract_x
_atom_site_fract_y
_atom_site_fract_z
_atom_site_occupancy
Tb1 0.081 0.417 0.754 1
Tb2 0.246 0.246 0.245 1
Tb3 0.417 0.081 0.754 1
Tb4 0.583 0.919 0.246 1
Tb5 0.754 0.754 0.755 1
Tb6 0.919 0.583 0.246 1
Nd1 0.500 0.500 0.000 1
Y1 0.000 0.000 0.500 1
Y2 0.333 0.667 0.500 1
Y3 0.667 0.333 0.500 1
Sc1 0.167 0.833 0.000 1
Sc2 0.833 0.167 0.000 1
```

Values from the calculation:
Space group: C2/m
Energy relative to the elements: 38 meV per atom



6.
Tb6DyIn4: optimized geometry, PBE-GGA.

The structure in CIF format:
```
data_Tb6DyIn4
_symmetry_space_group_name_H-M 'P 1'
_symmetry_Int_Tables_number 1
_cell_length_a 8.033
_cell_length_b 8.033
_cell_length_c 8.033
_cell_angle_alpha 122.33
_cell_angle_beta 122.33
_cell_angle_gamma 86.01
loop_
_symmetry_equiv_pos_as_xyz
'x,y,z'
loop_
_atom_site_label
_atom_site_fract_x
_atom_site_fract_y
_atom_site_fract_z
_atom_site_occupancy
Tb1 0.000 0.500 0.500 1
Tb2 0.029 0.029 0.625 1
Tb3 0.403 0.403 0.375 1
Tb4 0.500 0.000 0.500 1
Tb5 0.597 0.971 0.000 1
Tb6 0.971 0.597 0.000 1
Dy1 0.500 0.500 0.000 1
In1 0.100 0.100 0.333 1
In2 0.233 0.900 0.000 1
In3 0.767 0.767 0.667 1
In4 0.900 0.233 0.000 1
```

Values from the calculation:
Space group: I-42m
Energy relative to the elements: -105 meV per atom



7.
MgBeNb2O: optimized geometry, PBE-GGA.

The structure in CIF format:
```
data_MgBeNb2O
_symmetry_space_group_name_H-M 'P 1'
_symmetry_Int_Tables_number 1
_cell_length_a 5.092
_cell_length_b 5.092
_cell_length_c 2.989
_cell_angle_alpha 90.00
_cell_angle_beta 90.00
_cell_angle_gamma 90.00
loop_
_symmetry_equiv_pos_as_xyz
'x,y,z'
loop_
_atom_site_label
_atom_site_fract_x
_atom_site_fract_y
_atom_site_fract_z
_atom_site_occupancy
Mg1 0.000 0.000 0.000 1
Be1 0.500 0.500 0.500 1
Nb1 0.000 0.500 0.500 1
Nb2 0.500 0.000 0.500 1
O1 0.500 0.500 0.000 1
```

Values from the calculation:
Space group: P4/mmm
E_form (uncorrected): 264 meV/atom



8.
Th2UC3: optimized geometry, PBE-GGA.

The structure in CIF format:
```
data_Th2UC3
_symmetry_space_group_name_H-M 'P 1'
_symmetry_Int_Tables_number 1
_cell_length_a 6.381
_cell_length_b 6.381
_cell_length_c 6.352
_cell_angle_alpha 99.50
_cell_angle_beta 99.50
_cell_angle_gamma 119.86
loop_
_symmetry_equiv_pos_as_xyz
'x,y,z'
loop_
_atom_site_label
_atom_site_fract_x
_atom_site_fract_y
_atom_site_fract_z
_atom_site_occupancy
Th1 0.082 0.918 0.750 1
Th2 0.249 0.751 0.250 1
Th3 0.751 0.249 0.750 1
Th4 0.918 0.082 0.250 1
U1 0.418 0.582 0.750 1
U2 0.582 0.418 0.250 1
C1 0.000 0.500 0.500 1
C2 0.221 0.365 0.000 1
C3 0.365 0.221 0.500 1
C4 0.500 0.000 0.000 1
C5 0.635 0.779 0.500 1
C6 0.779 0.635 0.000 1
```

Values from the calculation:
Space group: C2/c
Energy relative to the elements: -231 meV per atom
E above lowest polymorph: 0.0000 eV/atom



9.
CsIn2PdPb: optimized geometry, PBE-GGA.

The structure in CIF format:
```
data_CsIn2PdPb
_symmetry_space_group_name_H-M 'P 1'
_symmetry_Int_Tables_number 1
_cell_length_a 5.372
_cell_length_b 5.372
_cell_length_c 5.669
_cell_angle_alpha 90.00
_cell_angle_beta 90.00
_cell_angle_gamma 90.00
loop_
_symmetry_equiv_pos_as_xyz
'x,y,z'
loop_
_atom_site_label
_atom_site_fract_x
_atom_site_fract_y
_atom_site_fract_z
_atom_site_occupancy
Cs1 0.000 0.000 0.000 1
In1 0.000 0.500 0.500 1
In2 0.500 0.000 0.500 1
Pd1 0.500 0.500 0.500 1
Pb1 0.500 0.500 0.000 1
```

Values from the calculation:
Space group: P4/mmm
Energy relative to the elements: -66 meV per atom



10.
NiP2: optimized geometry, PBE-GGA.

The structure in CIF format:
```
data_NiP2
_symmetry_space_group_name_H-M 'P 1'
_symmetry_Int_Tables_number 1
_cell_length_a 3.911
_cell_length_b 3.911
_cell_length_c 3.911
_cell_angle_alpha 60.00
_cell_angle_beta 60.00
_cell_angle_gamma 60.00
loop_
_symmetry_equiv_pos_as_xyz
'x,y,z'
loop_
_atom_site_label
_atom_site_fract_x
_atom_site_fract_y
_atom_site_fract_z
_atom_site_occupancy
Ni1 0.000 0.000 0.000 1
P1 0.250 0.250 0.250 1
P2 0.750 0.750 0.750 1
```

Values from the calculation:
Space group: Fm-3m
Energy relative to the elements: -78 meV per atom



Table of volume (A^3/atom), in record order: 22.402; 21.595; 17.583; 44.291; 30.926; 32.059; 15.499; 17.646; 32.717; 14.103